Entry from Alexandria: a relaxed structure of GeBiPdW2 (PBE).

Geometry as CIF:
```
data_GeBiPdW2
_cell_length_a 5.022
_cell_length_b 5.022
_cell_length_c 4.532
_cell_angle_alpha 90.00
_cell_angle_beta 90.00
_cell_angle_gamma 90.00
_space_group_name_H-M_alt 'P 4/m m m'
_space_group_IT_number 123
_space_group_name_Hall '-P 4 2'
loop_
_atom_site_label
_atom_site_fract_x
_atom_site_fract_y
_atom_site_fract_z
Ge1 0.000 0.000 0.000
Bi1 0.500 0.500 0.000
Pd1 0.000 0.000 0.500
W1 0.000 0.500 0.500
```

Summary:
* magnetic moment: 3.9 Bohr magnetons per cell
* total DFT energy (no corrections): -0.460 Ry per atom
* formation enthalpy at 0 K: 798 kJ/mol of formula units

***

Entry from Alexandria: a relaxed structure of YGeBiPd2 (PBE).

Geometry as CIF:
```
data_YGeBiPd2
_cell_length_a 4.703
_cell_length_b 4.703
_cell_length_c 5.433
_cell_angle_alpha 90.00
_cell_angle_beta 90.00
_cell_angle_gamma 90.00
_space_group_name_H-M_alt 'P 4/m m m'
_space_group_IT_number 123
_space_group_name_Hall '-P 4 2'
loop_
_atom_site_label
_atom_site_fract_x
_atom_site_fract_y
_atom_site_fract_z
Y1 0.000 0.000 0.000
Ge1 0.000 0.000 0.500
Bi1 0.500 0.500 0.000
Pd1 0.000 0.500 0.500
```

Summary:
* magnetic moment: 0.0 Bohr magnetons per cell
* total DFT energy (no corrections): -0.390 Ry per atom
* formation enthalpy at 0 K: -117 kJ/mol of formula units

***

Entry from Alexandria: a relaxed structure of ZnGeBi2Pd (PBE).

Geometry as CIF:
```
data_ZnGeBi2Pd
_cell_length_a 5.395
_cell_length_b 5.395
_cell_length_c 4.738
_cell_angle_alpha 90.00
_cell_angle_beta 90.00
_cell_angle_gamma 90.00
_space_group_name_H-M_alt 'P 4/m m m'
_space_group_IT_number 123
_space_group_name_Hall '-P 4 2'
loop_
_atom_site_label
_atom_site_fract_x
_atom_site_fract_y
_atom_site_fract_z
Zn1 0.000 0.000 0.000
Ge1 0.500 0.500 0.000
Bi1 0.000 0.500 0.500
Pd1 0.000 0.000 0.500
```

Summary:
* magnetic moment: 0.0 Bohr magnetons per cell
* total DFT energy (no corrections): -0.254 Ry per atom
* formation enthalpy at 0 K: 149 kJ/mol of formula units

***

Entry from Alexandria: a relaxed structure of ZnGeBiPd2 (PBE).

Geometry as CIF:
```
data_ZnGeBiPd2
_cell_length_a 4.691
_cell_length_b 4.691
_cell_length_c 5.518
_cell_angle_alpha 90.00
_cell_angle_beta 90.00
_cell_angle_gamma 90.00
_space_group_name_H-M_alt 'P 4/m m m'
_space_group_IT_number 123
_space_group_name_Hall '-P 4 2'
loop_
_atom_site_label
_atom_site_fract_x
_atom_site_fract_y
_atom_site_fract_z
Zn1 0.000 0.000 0.000
Ge1 0.500 0.500 0.500
Bi1 0.500 0.500 0.000
Pd1 0.000 0.500 0.500
```

Summary:
* magnetic moment: 0.0 Bohr magnetons per cell
* total DFT energy (no corrections): -0.269 Ry per atom
* formation enthalpy at 0 K: 179 kJ/mol of formula units